A plane-wave DFT calculation with GGA+U was carried out for a geometry-optimized UInCo2O6 structure.

Lattice parameters (Å, degrees): 6.128 6.128 4.135 90.00 90.00 90.00
Atoms (fractional coordinates):
U 0.000 0.000 0.000
In 0.500 0.500 0.999
Co 0.000 0.500 0.001
Co 0.500 0.000 0.001
O 0.000 0.000 0.500
O 0.243 0.243 0.000
O 0.243 0.757 0.000
O 0.500 0.500 0.499
O 0.757 0.243 0.000
O 0.757 0.757 0.000

Results
Density (kg/m³): 6061
Energy (eV/cell): -69.5
Size of the total moment (μB/f.u.): 5.0